(1)
This record from the Alexandria database describes an optimized crystal structure of Pt4Rh. The functional is PBE.

Output
The excess energy over the best structure of this formula in the dataset is 1.46 kJ per mole of atoms. The uncorrected energy is -6.310 eV/atom. Its crystal system is trigonal.

a b c (Å): 2.7906 2.7906 34.2011
angles (deg): 90.00 90.00 120.00
Space group R-3m (No. 166, hexagonal axes)
Asymmetric unit:
Pt  0.0000  0.0000  0.1018
Pt  0.0000  0.0000  0.2994
Rh  0.0000  0.0000  0.5000

---

(2)
This record from the Alexandria database describes an optimized crystal structure of PtRh. The functional is PBE.

Output
The uncorrected energy is -6.279 eV/atom. Its crystal system is tetragonal.

a b c (Å): 7.169 7.169 5.216
angles (deg): 90.00 90.00 90.00
Space group I4/m (No. 87)
Asymmetric unit:
Pt  0.064  0.253  0.000
Rh  0.066  0.247  0.500

---

Question: What is the uncorrected energy in the first record?
Answer: -6.310 eV/atom

---

Question: What is the uncorrected energy in the first record?
Answer: -6.310 eV/atom

---

Repeat the first record exactly.
This record from the Alexandria database describes an optimized crystal structure of Pt4Rh. The functional is PBE.

Output
The excess energy over the best structure of this formula in the dataset is 1.46 kJ per mole of atoms. The uncorrected energy is -6.310 eV/atom. Its crystal system is trigonal.

a b c (Å): 2.7906 2.7906 34.2011
angles (deg): 90.00 90.00 120.00
Space group R-3m (No. 166, hexagonal axes)
Asymmetric unit:
Pt  0.0000  0.0000  0.1018
Pt  0.0000  0.0000  0.2994
Rh  0.0000  0.0000  0.5000

---

Question: Which value of uncorrected energy does entry 1 give?
Answer: -6.310 eV/atom